A relaxed KAlTl crystal, computed with PBE.

Its space group is No. 44. The polymorph energy (0 for the lowest one) is 21.0 meV per atom. As for the energy of formation from the pure elements: 35.7 meV per atom.

a = 9.3454 Å, b = 9.3454 Å, c = 9.3454 Å
α = 152.25°, β = 42.04°, γ = 149.06°
Element x y z (fractional)
1 K 0.1736 0.0000 0.1736
2 K 0.8264 0.0000 0.8264
3 Al 0.6608 0.6608 0.0000
4 Al 0.9834 0.4834 0.5000
5 Tl 0.3769 0.9777 0.3992
6 Tl 0.5785 0.9777 0.6008

A relaxed Ni3Sn2Au2 crystal, computed with PBE.

Its space group is No. 12. As for the energy of formation from the pure elements: -101.7 meV per atom.

a = 4.3806 Å, b = 4.3806 Å, c = 7.3325 Å
α = 107.53°, β = 107.53°, γ = 59.86°
Element x y z (fractional)
1 Ni 0.0000 0.0000 0.0000
2 Ni 0.2647 0.2647 0.7927
3 Ni 0.7353 0.7353 0.2073
4 Sn 0.3927 0.3927 0.1782
5 Sn 0.6073 0.6073 0.8218
6 Au 0.1318 0.1318 0.3964
7 Au 0.8682 0.8682 0.6036

A relaxed MnBi3Pd crystal, computed with PBE.

Its space group is No. 221. The polymorph energy (0 for the lowest one) is 0.0 meV per atom. As for the energy of formation from the pure elements: 514.6 meV per atom.

a = 5.1437 Å, b = 5.1437 Å, c = 5.1437 Å
α = 90.00°, β = 90.00°, γ = 90.00°
Element x y z (fractional)
1 Mn 0.0000 0.0000 0.0000
2 Bi 0.0000 0.0000 0.5000
3 Bi 0.0000 0.5000 0.0000
4 Bi 0.5000 0.0000 0.0000
5 Pd 0.5000 0.5000 0.5000

A relaxed AgRuAu2 crystal, computed with PBE.

Its space group is No. 122. The polymorph energy (0 for the lowest one) is 442.6 meV per atom. As for the energy of formation from the pure elements: 690.9 meV per atom.

a = 10.0759 Å, b = 10.0759 Å, c = 10.0759 Å
α = 157.46°, β = 157.46°, γ = 32.09°
Element x y z (fractional)
1 Ag 0.0000 0.0000 0.0000
2 Ag 0.7500 0.2500 0.5000
3 Ru 0.2500 0.7500 0.5000
4 Ru 0.5000 0.5000 0.0000
5 Au 0.1286 0.6250 0.0036
6 Au 0.3750 0.3786 0.5036
7 Au 0.6214 0.1250 0.9964
8 Au 0.8750 0.8714 0.4964

A relaxed Cs2BaNa2 crystal, computed with PBE.

Its space group is No. 139. The polymorph energy (0 for the lowest one) is 116.6 meV per atom. As for the energy of formation from the pure elements: 214.9 meV per atom.

a = 8.6809 Å, b = 8.6809 Å, c = 8.6809 Å
α = 131.58°, β = 131.58°, γ = 70.89°
Element x y z (fractional)
1 Cs 0.1383 0.1383 0.0000
2 Cs 0.8617 0.8617 0.0000
3 Ba 0.5000 0.5000 0.0000
4 Na 0.2500 0.7500 0.5000
5 Na 0.7500 0.2500 0.5000

A relaxed BaLaRh2 crystal, computed with PBE.

Its space group is No. 8. As for the energy of formation from the pure elements: -385.4 meV per atom.

a = 4.4434 Å, b = 4.4434 Å, c = 8.2017 Å
α = 105.52°, β = 105.52°, γ = 59.98°
Element x y z (fractional)
1 Ba 0.0000 0.0000 0.0000
2 La 0.1610 0.1610 0.4893
3 Rh 0.4257 0.4257 0.2805
4 Rh 0.7600 0.7600 0.2834

A relaxed HgRh crystal, computed with PBE.

Its space group is No. 227. As for the energy of formation from the pure elements: 343.5 meV per atom.

a = 4.6352 Å, b = 4.6352 Å, c = 4.6352 Å
α = 60.00°, β = 60.00°, γ = 60.00°
Element x y z (fractional)
1 Hg 0.1250 0.1250 0.1250
2 Hg 0.8750 0.8750 0.8750
3 Rh 0.3750 0.3750 0.3750
4 Rh 0.6250 0.6250 0.6250

A relaxed TmLuBi2 crystal, computed with PBE.

Its space group is No. 166. As for the energy of formation from the pure elements: -137.7 meV per atom.

a = 11.7214 Å, b = 11.7214 Å, c = 11.7214 Å
α = 17.26°, β = 17.26°, γ = 17.26°
Element x y z (fractional)
1 Tm 0.0000 0.0000 0.0000
2 Lu 0.5000 0.5000 0.5000
3 Bi 0.4091 0.4091 0.4091
4 Bi 0.5909 0.5909 0.5909

A relaxed CrBr3 crystal, computed with PBE.

Its uncorrected formation energy is 246 meV per atom. Its space group is No. 223.

a = 5.8091 Å, b = 5.8091 Å, c = 5.8091 Å
α = 90.00°, β = 90.00°, γ = 90.00°
Element x y z (fractional)
1 Cr 0.0000 0.0000 0.0000
2 Cr 0.5000 0.5000 0.5000
3 Br 0.0000 0.2500 0.5000
4 Br 0.0000 0.7500 0.5000
5 Br 0.2500 0.5000 0.0000
6 Br 0.5000 0.0000 0.2500
7 Br 0.5000 0.0000 0.7500
8 Br 0.7500 0.5000 0.0000

A relaxed RbSrGaS3 crystal, computed with PBE.

Its uncorrected formation energy is -1142 meV per atom. Its space group is No. 12.

a = 8.3163 Å, b = 8.3163 Å, c = 8.8748 Å
α = 103.95°, β = 103.95°, γ = 35.15°
Element x y z (fractional)
1 Rb 0.1474 0.1474 0.0648
2 Rb 0.8526 0.8526 0.9352
3 Sr 0.1456 0.1456 0.5698
4 Sr 0.8544 0.8544 0.4302
5 Ga 0.4923 0.4923 0.7216
6 Ga 0.5077 0.5077 0.2784
7 S 0.0035 0.0035 0.2798
8 S 0.3442 0.3442 0.6498
9 S 0.3605 0.3605 0.2199
10 S 0.6395 0.6395 0.7801
11 S 0.6558 0.6558 0.3502
12 S 0.9965 0.9965 0.7202

A relaxed TbDy3TmTh crystal, computed with PBE.

Its space group is No. 12. As for the energy of formation from the pure elements: 193.5 meV per atom.

a = 11.2469 Å, b = 11.2469 Å, c = 6.7266 Å
α = 98.98°, β = 98.98°, γ = 27.85°
Element x y z (fractional)
1 Tb 0.1318 0.1318 0.4578
2 Tb 0.8682 0.8682 0.5422
3 Dy 0.0270 0.0270 0.7736
4 Dy 0.2759 0.2759 0.6929
5 Dy 0.3351 0.3351 0.2374
6 Dy 0.6649 0.6649 0.7626
7 Dy 0.7241 0.7241 0.3071
8 Dy 0.9730 0.9730 0.2264
9 Tm 0.1697 0.1697 0.0231
10 Tm 0.8303 0.8303 0.9769
11 Th 0.4327 0.4327 0.8272
12 Th 0.5673 0.5673 0.1728

A relaxed Ac3Ga7Pd2 crystal, computed with PBE.

Its space group is No. 10. As for the energy of formation from the pure elements: -611.2 meV per atom.

a = 4.5313 Å, b = 4.5639 Å, c = 13.8129 Å
α = 90.00°, β = 99.40°, γ = 90.00°
Element x y z (fractional)
1 Ac 0.0000 0.0000 0.0000
2 Ac 0.3195 0.5000 0.6398
3 Ac 0.6805 0.5000 0.3602
4 Ga 0.0859 0.5000 0.1700
5 Ga 0.2244 0.0000 0.4488
6 Ga 0.4155 0.0000 0.8306
7 Ga 0.5000 0.5000 0.0000
8 Ga 0.5845 0.0000 0.1694
9 Ga 0.7756 0.0000 0.5512
10 Ga 0.9141 0.5000 0.8300
11 Pd 0.1299 0.0000 0.2602
12 Pd 0.8701 0.0000 0.7398

A relaxed LiTbTmOs crystal, computed with PBE.

Its space group is No. 216. As for the energy of formation from the pure elements: -252.9 meV per atom.

a = 4.8728 Å, b = 4.8728 Å, c = 4.8728 Å
α = 60.00°, β = 60.00°, γ = 60.00°
Element x y z (fractional)
1 Li 0.0000 0.0000 0.0000
2 Tb 0.2500 0.2500 0.2500
3 Tm 0.7500 0.7500 0.7500
4 Os 0.5000 0.5000 0.5000

A relaxed La3NiCl2 crystal, computed with PBE.

Its uncorrected formation energy is -1190 meV per atom. Its space group is No. 12.

a = 7.2702 Å, b = 7.2702 Å, c = 7.4207 Å
α = 99.47°, β = 99.47°, γ = 119.44°
Element x y z (fractional)
1 La 0.0665 0.4251 0.7730
2 La 0.2147 0.2147 0.2164
3 La 0.4251 0.0665 0.7730
4 La 0.5749 0.9335 0.2270
5 La 0.7853 0.7853 0.7836
6 La 0.9335 0.5749 0.2270
7 Ni 0.1679 0.8321 0.0000
8 Ni 0.8321 0.1679 0.0000
9 Cl 0.0000 0.0000 0.5000
10 Cl 0.3471 0.6529 0.5000
11 Cl 0.5000 0.5000 0.0000
12 Cl 0.6529 0.3471 0.5000

A relaxed NaAlTc3 crystal, computed with PBE.

Its space group is No. 221. The polymorph energy (0 for the lowest one) is 0.0 meV per atom. As for the energy of formation from the pure elements: 1538.6 meV per atom.

a = 4.5709 Å, b = 4.5709 Å, c = 4.5709 Å
α = 90.00°, β = 90.00°, γ = 90.00°
Element x y z (fractional)
1 Na 0.0000 0.0000 0.0000
2 Al 0.5000 0.5000 0.5000
3 Tc 0.0000 0.5000 0.5000
4 Tc 0.5000 0.0000 0.5000
5 Tc 0.5000 0.5000 0.0000

A relaxed NaIn3Br crystal, computed with PBE.

Its uncorrected formation energy is 121 meV per atom. Its space group is No. 221. The polymorph energy (0 for the lowest one) is 0.0 meV per atom.

a = 5.9834 Å, b = 5.9834 Å, c = 5.9834 Å
α = 90.00°, β = 90.00°, γ = 90.00°
Element x y z (fractional)
1 Na 0.0000 0.0000 0.0000
2 In 0.0000 0.5000 0.5000
3 In 0.5000 0.0000 0.5000
4 In 0.5000 0.5000 0.0000
5 Br 0.5000 0.5000 0.5000

A relaxed Ho11Cd9Co4 crystal, computed with PBE.

Its space group is No. 65. As for the energy of formation from the pure elements: -297.0 meV per atom.

a = 12.9546 Å, b = 12.9546 Å, c = 3.5609 Å
α = 90.00°, β = 90.00°, γ = 112.54°
Element x y z (fractional)
1 Ho 0.0000 0.0000 0.0000
2 Ho 0.0890 0.4193 0.0000
3 Ho 0.1599 0.8401 0.0000
4 Ho 0.3114 0.3114 0.0000
5 Ho 0.3728 0.6272 0.0000
6 Ho 0.4193 0.0890 0.0000
7 Ho 0.5807 0.9110 0.0000
8 Ho 0.6272 0.3728 0.0000
9 Ho 0.6886 0.6886 0.0000
10 Ho 0.8401 0.1599 0.0000
11 Ho 0.9110 0.5807 0.0000
12 Cd 0.0768 0.2183 0.5000
13 Cd 0.1553 0.6344 0.5000
14 Cd 0.2183 0.0768 0.5000
15 Cd 0.3656 0.8447 0.5000
16 Cd 0.5000 0.5000 0.5000
17 Cd 0.6344 0.1553 0.5000
18 Cd 0.7817 0.9232 0.5000
19 Cd 0.8447 0.3656 0.5000
20 Cd 0.9232 0.7817 0.5000
21 Co 0.2562 0.4538 0.5000
22 Co 0.4538 0.2562 0.5000
23 Co 0.5462 0.7438 0.5000
24 Co 0.7438 0.5462 0.5000

A relaxed Zn2SnH2 crystal, computed with PBE.

Its space group is No. 139. For the uncorrected energy, the calculation gives -2.3179 eV/atom.

a = 6.6702 Å, b = 6.6702 Å, c = 6.6702 Å
α = 151.35°, β = 151.35°, γ = 40.97°
Element x y z (fractional)
1 Zn 0.1632 0.1632 0.0000
2 Zn 0.8368 0.8368 0.0000
3 Sn 0.5000 0.5000 0.0000
4 H 0.2500 0.7500 0.5000
5 H 0.7500 0.2500 0.5000

A relaxed Zr3Cl crystal, computed with PBE.

Its uncorrected formation energy is 222 meV per atom. Its space group is No. 194. The polymorph energy (0 for the lowest one) is 632.8 meV per atom.

a = 6.2587 Å, b = 6.2587 Å, c = 10.2170 Å
α = 90.00°, β = 90.00°, γ = 120.00°
Element x y z (fractional)
1 Zr 0.0000 0.5000 0.0000
2 Zr 0.0000 0.5000 0.5000
3 Zr 0.1690 0.3380 0.2500
4 Zr 0.1690 0.8310 0.2500
5 Zr 0.3380 0.1690 0.7500
6 Zr 0.5000 0.0000 0.0000
7 Zr 0.5000 0.0000 0.5000
8 Zr 0.5000 0.5000 0.0000
9 Zr 0.5000 0.5000 0.5000
10 Zr 0.6620 0.8310 0.2500
11 Zr 0.8310 0.1690 0.7500
12 Zr 0.8310 0.6620 0.7500
13 Cl 0.0000 0.0000 0.0000
14 Cl 0.0000 0.0000 0.5000
15 Cl 0.3333 0.6667 0.7500
16 Cl 0.6667 0.3333 0.2500

A relaxed YSbP2 crystal, computed with PBE.

Its uncorrected formation energy is -535 meV per atom. Its space group is No. 10.

a = 4.1792 Å, b = 3.9101 Å, c = 5.8813 Å
α = 90.00°, β = 104.71°, γ = 90.00°
Element x y z (fractional)
1 Y 0.0000 0.0000 0.0000
2 Sb 0.5000 0.0000 0.5000
3 P 0.3508 0.5000 0.8104
4 P 0.6492 0.5000 0.1896

A relaxed ScMo crystal, computed with PBE.

Its space group is No. 51. The polymorph energy (0 for the lowest one) is 239.6 meV per atom. As for the energy of formation from the pure elements: 215.5 meV per atom.

a = 4.5946 Å, b = 2.8564 Å, c = 5.7110 Å
α = 90.00°, β = 90.00°, γ = 90.00°
Element x y z (fractional)
1 Sc 0.2500 0.0000 0.1537
2 Sc 0.7500 0.0000 0.8463
3 Mo 0.2500 0.5000 0.6211
4 Mo 0.7500 0.5000 0.3789

A relaxed LiHf2Nb3N6 crystal, computed with PBE.

Its uncorrected formation energy is -1303 meV per atom. Its space group is No. 12.

a = 7.1171 Å, b = 7.1171 Å, c = 6.2714 Å
α = 104.86°, β = 104.86°, γ = 25.50°
Element x y z (fractional)
1 Li 0.0000 0.0000 0.0000
2 Hf 0.3421 0.3421 0.6833
3 Hf 0.6579 0.6579 0.3167
4 Nb 0.0000 0.0000 0.5000
5 Nb 0.3474 0.3474 0.1860
6 Nb 0.6526 0.6526 0.8140
7 N 0.1692 0.1692 0.0781
8 N 0.1704 0.1704 0.5750
9 N 0.4983 0.4983 0.7562
10 N 0.5017 0.5017 0.2438
11 N 0.8296 0.8296 0.4250
12 N 0.8308 0.8308 0.9219

A relaxed Ti3GePd crystal, computed with PBE.

Its space group is No. 15. The polymorph energy (0 for the lowest one) is 0.0 meV per atom. As for the energy of formation from the pure elements: -222.4 meV per atom.

a = 5.9905 Å, b = 5.9905 Å, c = 10.8044 Å
α = 98.08°, β = 98.08°, γ = 66.77°
Element x y z (fractional)
1 Ti 0.1091 0.1789 0.8109
2 Ti 0.1740 0.3784 0.5901
3 Ti 0.1789 0.1091 0.3109
4 Ti 0.1980 0.7909 0.9790
5 Ti 0.2091 0.8020 0.5210
6 Ti 0.3784 0.1740 0.0901
7 Ti 0.6216 0.8260 0.9099
8 Ti 0.7909 0.1980 0.4790
9 Ti 0.8020 0.2091 0.0210
10 Ti 0.8211 0.8909 0.6891
11 Ti 0.8260 0.6216 0.4099
12 Ti 0.8909 0.8211 0.1891
13 Ge 0.0000 0.5000 0.0000
14 Ge 0.2990 0.7010 0.7500
15 Ge 0.5000 0.0000 0.5000
16 Ge 0.7010 0.2990 0.2500
17 Pd 0.2806 0.4986 0.3293
18 Pd 0.4986 0.2806 0.8293
19 Pd 0.5014 0.7194 0.1707
20 Pd 0.7194 0.5014 0.6707